Compound: CaCo
Source: Alexandria via LeMat-Bulk
Functional: PBE-GGA
Structure: optimized geometry

The structure belongs to space group P-6m2 (No. 187); the cell edges are 3.3179, 3.3179 and 4.2592 Å and the angles 90.00°, 90.00° and 120.00°. Symmetry generates all atoms from Ca at (0.0000, 0.0000, 0.0000) and Co at (0.6667, 0.3333, 0.5000).

Its magnetization is 0.72 μB per formula unit. Its density of states at the Fermi level is 2.893 states/eV/f.u. The value obtained for the calculated formation energy is 69.0 kJ/mol of atoms. The crystal system is hexagonal.